1.
12
Lattice="7.4849 0.0000 0.0000 0.0000 3.6202 0.0000 -1.6127 0.0000 7.5150" Properties=species:S:1:pos:R:3 comment="PBE-GGA BaLiPrO3, relaxed" sg=P2_1/m e_form_raw_ev_per_fu=-15.904 pbc="T T T"
Ba 1.4184 0.9051 1.3406
Ba 4.4538 2.7152 6.1745
Li 1.5669 2.7152 6.9275
Li 4.3054 0.9051 0.5876
Pr 0.2942 0.9051 4.9544
Pr 5.5780 2.7152 2.5607
O -0.3271 2.7152 6.4846
O 0.4672 2.7152 3.2975
O 2.2823 0.9051 6.2369
O 3.5899 2.7152 1.2781
O 5.4050 0.9051 4.2175
O 6.1993 0.9051 1.0304

2.
20
Lattice="3.6493 2.1069 13.9503 -3.6493 2.1069 13.9503 0.0000 -4.2139 13.9503" Properties=species:S:1:pos:R:3 comment="PBE-GGA Ba2TlZnIn6, relaxed" sg=R-3m ef_ev_per_atom=-0.18 pbc="T T T"
Ba 0.0000 0.0000 4.4403
Ba 0.0000 0.0000 11.6034
Ba 0.0000 0.0000 30.2476
Ba 0.0000 0.0000 37.4107
Tl 0.0000 0.0000 17.7889
Tl 0.0000 0.0000 24.0621
Zn 0.0000 0.0000 0.0000
Zn 0.0000 0.0000 20.9255
In -2.1454 -1.2387 19.7473
In 0.0000 -1.7940 15.1542
In -1.5537 0.8970 15.1542
In 0.0000 -2.4773 22.1036
In -2.1454 1.2387 22.1036
In -1.5537 -0.8970 26.6967
In 1.5537 0.8970 15.1543
In 2.1454 -1.2387 19.7473
In 0.0000 2.4773 19.7473
In 1.5537 -0.8970 26.6967
In 0.0000 1.7941 26.6967
In 2.1454 1.2387 22.1036

3.
12
Lattice="3.7679 -6.4961 0.0000 3.7679 6.4961 0.0000 -2.4966 0.0000 7.0793" Properties=species:S:1:pos:R:3 comment="PBE-GGA Y6CuTe5, relaxed" sg=C2/m e_form_raw_ev_per_fu=-14.077 pbc="T T T"
Y -0.1137 1.9659 5.1476
Y 1.0194 0.0000 1.8534
Y -0.1137 -1.9659 5.1476
Y 5.1529 1.9659 1.9317
Y 4.0197 0.0000 5.2259
Y 5.1529 -1.9659 1.9317
Cu -1.2483 0.0000 3.5397
Te 3.7679 4.1586 0.0000
Te 2.5196 2.1280 3.5397
Te 3.7679 0.0000 0.0000
Te 2.5196 -2.1280 3.5397
Te 3.7679 -4.1586 0.0000

4.
5
Lattice="5.5397 0.0000 0.0000 0.0000 5.5397 0.0000 0.0000 0.0000 3.8915" Properties=species:S:1:pos:R:3 comment="PBE-GGA BeNbTe2N, relaxed" sg=P4/mmm polymorph_energy_mev_per_atom=109 e_form_raw_ev_per_fu=2.851 pbc="T T T"
Be 0.0000 0.0000 0.0000
Nb 2.7699 2.7699 1.9458
Te 0.0000 2.7699 1.9458
Te 2.7699 0.0000 1.9458
N 2.7699 2.7699 0.0000

5.
5
Lattice="5.2230 0.0000 0.0000 0.0000 5.2230 0.0000 0.0000 0.0000 4.2687" Properties=species:S:1:pos:R:3 comment="PBE-GGA YRhS2N, relaxed" sg=P4/mmm polymorph_energy_mev_per_atom=1294 e_form_raw_ev_per_fu=3.976 pbc="T T T"
Y 0.0000 0.0000 0.0000
Rh 2.6115 2.6115 2.1343
S 0.0000 2.6115 0.0000
S 2.6115 0.0000 0.0000
N 0.0000 0.0000 2.1343

6.
5
Lattice="-1.9264 1.9264 4.6862 1.9264 -1.9264 4.6862 1.9264 1.9264 -4.6862" Properties=species:S:1:pos:R:3 comment="PBE-GGA ZrBe2Rh2, relaxed" sg=I4/mmm polymorph_energy_mev_per_atom=130 ef_ev_per_atom=-0.49 pbc="T T T"
Zr 0.0000 0.0000 0.0000
Be 1.9264 0.0000 2.3431
Be 0.0000 1.9264 2.3431
Rh 0.0000 0.0000 3.3796
Rh 0.0000 0.0000 5.9928

7.
10
Lattice="4.6211 -6.6814 0.0000 4.6211 6.6814 0.0000 -2.2814 0.0000 5.6463" Properties=species:S:1:pos:R:3 comment="PBE-GGA Nd2DyHo2, relaxed" sg=C2/c polymorph_energy_mev_per_atom=263 ef_ev_per_atom=0.28 pbc="T T T"
Nd 0.8513 1.0154 2.1066
Nd -0.2894 -1.0154 4.9298
Nd 7.2503 1.0154 0.7165
Nd 6.1095 -1.0154 3.5396
Dy 4.0508 0.8399 1.4116
Dy 2.9101 -0.8399 4.2347
Ho 4.0508 4.3852 1.4116
Ho 2.9101 2.6078 4.2347
Ho 4.0508 -2.6078 1.4116
Ho 2.9101 -4.3852 4.2347

8.
11
Lattice="3.0743 -5.4642 0.0000 3.0743 5.4642 0.0000 -1.9888 0.0000 6.7460" Properties=species:S:1:pos:R:3 comment="PBE-GGA Na2Cr2InS6, relaxed" sg=C2/m e_form_raw_ev_per_fu=-8.542 pbc="T T T"
Na 3.0743 3.7174 0.0000
Na 3.0743 -3.7174 0.0000
Cr 2.0799 1.8060 3.3730
Cr 2.0799 -1.8060 3.3730
In -0.9944 0.0000 3.3730
S 0.1010 2.0006 4.7207
S 1.2476 0.0000 1.9969
S 0.1010 -2.0006 4.7207
S 4.0589 2.0006 2.0252
S 2.9123 0.0000 4.7491
S 4.0589 -2.0006 2.0252

9.
4
Lattice="4.5093 -1.4619 0.0000 4.5093 1.4619 0.0000 -0.8719 0.0000 4.8032" Properties=species:S:1:pos:R:3 comment="PBE-GGA TlCr2Os, relaxed" sg=C2/m polymorph_energy_mev_per_atom=205 ef_ev_per_atom=0.69 pbc="T T T"
Tl 0.0000 0.0000 0.0000
Cr 1.5863 0.0000 3.2252
Cr 6.5603 0.0000 1.5780
Os 4.0733 0.0000 2.4016

10.
12
Lattice="5.4095 -2.3453 0.0000 5.4095 2.3453 0.0000 -4.5562 0.0000 7.7637" Properties=species:S:1:pos:R:3 comment="PBE-GGA Zn4CuPt7, relaxed" sg=C2/m ef_ev_per_atom=-0.13 pbc="T T T"
Zn -0.4019 0.0000 2.1077
Zn -1.1984 0.0000 6.3831
Zn 7.4611 0.0000 1.3806
Zn 6.6645 0.0000 5.6560
Cu 3.1313 0.0000 3.8818
Pt -2.2781 0.0000 3.8818
Pt 1.3481 0.0000 0.2732
Pt 0.5158 0.0000 4.5291
Pt 3.8432 0.0000 1.3314
Pt 2.4195 0.0000 6.4323
Pt 5.7469 0.0000 3.2346
Pt 4.9146 0.0000 7.4905

11.
8
Lattice="-3.9142 3.9142 4.2159 3.9142 -3.9142 4.2159 3.9142 3.9142 -4.2159" Properties=species:S:1:pos:R:3 comment="PBE-GGA K2UAuSe4, relaxed" sg=I-4 e_form_raw_ev_per_fu=-6.047 pbc="T T T"
K 0.0000 0.0000 0.0000
K 0.0000 3.9142 2.1080
U 0.0000 0.0000 4.2159
Au 3.9142 0.0000 2.1080
Se 1.8512 -1.4295 2.9048
Se 2.4847 2.0630 1.3112
Se 2.0630 5.3436 -1.3112
Se 1.4295 1.8512 5.5271

12.
10
Lattice="5.0305 -5.6664 0.0000 5.0305 5.6664 0.0000 -3.2156 0.0000 4.9268" Properties=species:S:1:pos:R:3 comment="PBE-GGA Dy2ThGe2, relaxed" sg=C2/c polymorph_energy_mev_per_atom=270 ef_ev_per_atom=-0.42 pbc="T T T"
Dy 0.2280 1.2147 2.3245
Dy -1.3798 -1.2147 4.7879
Dy 8.2252 1.2147 0.1389
Dy 6.6174 -1.2147 2.6022
Th 4.2266 1.3773 1.2317
Th 2.6188 -1.3773 3.6951
Ge 4.2266 4.3630 1.2317
Ge 2.6188 1.8047 3.6951
Ge 4.2266 -1.8047 1.2317
Ge 2.6188 -4.3630 3.6951

13.
4
Lattice="-2.0979 2.0991 4.7507 2.0979 -2.0991 4.7507 2.0979 2.0991 -4.7507" Properties=species:S:1:pos:R:3 comment="PBE-GGA InAg2Se, relaxed" sg=Imm2 e_form_raw_ev_per_fu=0.186 pbc="T T T"
In 0.0000 0.0000 0.0000
Ag 0.0000 0.0000 4.7425
Ag 0.0000 2.0991 2.3671
Se 2.0979 0.0000 2.3774

14.
28
Lattice="-5.9103 5.9103 5.9103 5.9103 -5.9103 5.9103 5.9103 5.9103 -5.9103" Properties=species:S:1:pos:R:3 comment="PBE-GGA Tb3BI3, relaxed" sg=I4_132 e_form_raw_ev_per_fu=-6.753 pbc="T T T"
Tb 1.7855 1.4776 -1.1696
Tb 7.0800 1.7855 -1.4776
Tb 1.4776 -1.1696 1.7855
Tb 4.7407 4.1248 -1.4776
Tb 4.1248 1.4776 1.1696
Tb -1.1696 1.7855 1.4776
Tb 4.1248 -1.4776 4.7407
Tb 1.4776 1.1696 4.1248
Tb 1.1696 4.1248 1.4776
Tb 1.7855 -1.4776 7.0800
Tb -1.4776 7.0800 1.7855
Tb -1.4776 4.7407 4.1248
B 4.4327 1.4776 -1.4776
B 1.4776 1.4776 1.4776
B 1.4776 -1.4776 4.4327
B -1.4776 4.4327 1.4776
I 7.3879 1.3685 1.5866
I 7.3879 -1.3685 4.3237
I 4.3237 7.3879 -1.3685
I 4.5418 1.5866 4.4327
I 4.4327 4.5418 1.5866
I 1.5866 7.3879 1.3685
I 7.2789 4.3237 4.4327
I 1.5866 4.4327 4.5418
I 1.3685 1.5866 7.3879
I 4.4327 7.2789 4.3237
I -1.3685 4.3237 7.3879
I 4.3237 4.4327 7.2789

15.
15
Lattice="0.0000 6.3323 6.3323 6.3323 0.0000 6.3323 6.3323 6.3323 0.0000" Properties=species:S:1:pos:R:3 comment="PBE-GGA TbNd6Te8, relaxed" sg=Fm-3m e_form_raw_ev_per_fu=-21.763 pbc="T T T"
Tb 0.0000 0.0000 0.0000
Nd 3.1661 3.1661 0.0000
Nd 3.1661 0.0000 3.1661
Nd 6.3323 3.1661 3.1661
Nd 0.0000 3.1661 3.1661
Nd 3.1661 6.3323 3.1661
Nd 3.1661 3.1661 6.3323
Te 3.1661 3.1661 3.1661
Te 6.3323 6.3323 3.1700
Te 6.3323 3.1700 6.3323
Te 9.4945 6.3323 6.3323
Te 3.1700 6.3323 6.3323
Te 6.3323 9.4945 6.3323
Te 6.3323 6.3323 9.4945
Te 9.4984 9.4984 9.4984

16.
10
Lattice="6.3225 0.0000 0.0000 0.0000 7.8258 0.0000 0.0000 0.0000 6.7360" Properties=species:S:1:pos:R:3 comment="PBE-GGA LaNd2YSc, relaxed" sg=Pmma ef_ev_per_atom=0.17 pbc="T T T"
La 1.5806 0.0000 1.2706
La 4.7419 0.0000 5.4654
Nd 1.5806 1.6173 4.7995
Nd 1.5806 6.2085 4.7995
Nd 4.7419 1.6173 1.9365
Nd 4.7419 6.2085 1.9365
Y 1.5806 3.9129 0.6283
Y 4.7419 3.9129 6.1077
Sc 0.0000 3.9129 3.3680
Sc 3.1613 3.9129 3.3680

17.
3
Lattice="4.7783 0.0000 0.0000 -2.3892 4.1382 0.0000 0.0000 0.0000 3.1866" Properties=species:S:1:pos:R:3 comment="PBE-GGA LuPuIr, relaxed" sg=P3m1 polymorph_energy_mev_per_atom=206 ef_ev_per_atom=-0.28 pbc="T T T"
Lu 0.0000 0.0000 0.0000
Pu 0.0000 2.7588 1.2545
Ir 2.3892 1.3794 2.1746

18.
5
Lattice="4.5869 0.0000 0.0000 0.0000 4.5869 0.0000 0.0000 0.0000 5.7969" Properties=species:S:1:pos:R:3 comment="PBE-GGA TiCuTeCl2, relaxed" sg=P4/mmm e_form_raw_ev_per_fu=-2.404 pbc="T T T"
Ti 0.0000 0.0000 0.0000
Cu 2.2934 2.2934 2.8984
Te 0.0000 0.0000 2.8984
Cl 0.0000 2.2934 0.0000
Cl 2.2934 0.0000 0.0000

19.
4
Lattice="0.0000 3.7171 3.7171 3.7171 0.0000 3.7171 3.7171 3.7171 0.0000" Properties=species:S:1:pos:R:3 comment="PBE-GGA MnGeI2, relaxed" sg=Fm-3m e_form_raw_ev_per_fu=1.939 pbc="T T T"
Mn 0.0000 0.0000 0.0000
Ge 3.7171 3.7171 3.7171
I 1.8586 1.8586 1.8586
I 5.5757 5.5757 5.5757

20.
4
Lattice="0.0000 3.6474 3.6474 3.6474 0.0000 3.6474 3.6474 3.6474 0.0000" Properties=species:S:1:pos:R:3 comment="PBE-GGA ZrPaSbTe, relaxed" sg=F-43m e_form_raw_ev_per_fu=-2.563 pbc="T T T"
Zr 0.0000 0.0000 0.0000
Pa 3.6474 3.6474 3.6474
Sb 5.4710 5.4710 5.4710
Te 1.8237 1.8237 1.8237